Below is an optimized crystal structure of MgPaTc, with properties calculated at the GGA-PBE level.

a b c (Å): 3.293 3.293 11.876
angles (deg): 90.00 90.00 90.00
Space group I4mm (No. 107)
Asymmetric unit:
Mg  0.000  0.000  0.000 [2 per cell]
Pa  0.000  0.000  0.274 [2 per cell]
Tc  0.000  0.000  0.646 [2 per cell]

Properties
**DFT formation energy**: 0.02 eV per formula unit
**Volume**: 21.47 A^3/atom
**Polymorph energy (0 for the lowest one)**: 0 meV/atom